# HoThNp

A geometry-optimized HoThNp structure (GGA-PBE, OQMD).

**E_form**: 1.18 eV per atom

The structure in POSCAR format:
```
HoThNp
1.0
0.000 3.705 3.705
3.705 0.000 3.705
3.705 3.705 0.000
Ho Th Np
1 1 1
Cartesian
0.000 0.000 0.000
5.557 5.557 5.557
1.852 1.852 1.852
```



# HoNpTl

A geometry-optimized HoNpTl structure (GGA-PBE, OQMD).

**ΔE to the lowest computed polymorph**: 0 meV/atom

The structure in POSCAR format:
```
HoNpTl
1.0
0.000 3.668 3.668
3.668 0.000 3.668
3.668 3.668 0.000
Ho Np Tl
1 1 1
Cartesian
0.000 0.000 0.000
3.668 3.668 3.668
1.834 1.834 1.834
```



# HoNpW

A geometry-optimized HoNpW structure (GGA-PBE, OQMD).

**E_form**: 0.91 eV per atom
**ΔE to the lowest computed polymorph**: 0 meV/atom

The structure in POSCAR format:
```
HoNpW
1.0
0.000 3.344 3.344
3.344 0.000 3.344
3.344 3.344 0.000
Ho Np W
1 1 1
Cartesian
0.000 0.000 0.000
3.344 3.344 3.344
5.015 5.015 5.015
```



# YHoNp

A geometry-optimized YHoNp structure (GGA-PBE, OQMD).

**E_form**: 1.17 eV per atom
**ΔE to the lowest computed polymorph**: 0 meV/atom

The structure in POSCAR format:
```
YHoNp
1.0
0.000 3.726 3.726
3.726 0.000 3.726
3.726 3.726 0.000
Y Ho Np
1 1 1
Cartesian
0.000 0.000 0.000
5.589 5.589 5.589
3.726 3.726 3.726
```



# HoZrNp

A geometry-optimized HoZrNp structure (GGA-PBE, OQMD).

**E_form**: 1.30 eV per atom

The structure in POSCAR format:
```
HoZrNp
1.0
0.000 3.434 3.434
3.434 0.000 3.434
3.434 3.434 0.000
Ho Zr Np
1 1 1
Cartesian
0.000 0.000 0.000
1.717 1.717 1.717
5.151 5.151 5.151
```



# Ho2O3

A geometry-optimized Ho2O3 structure (GGA-PBE, OQMD).

**Electronic total energy**: -8.210 eV/atom

The structure in POSCAR format:
```
Ho2O3
1.0
5.876 0.000 0.000
-2.938 5.088 0.000
0.000 0.000 3.016
Ho O
2 3
Cartesian
0.000 3.392 0.000
2.938 1.696 0.000
-1.447 2.506 1.508
2.894 0.000 1.508
1.491 2.582 1.508
```



Number 1: magnetization 1.60 μB/atom. Number 2: magnetization 1.76 μB/atom. Number 3: magnetization 1.03 μB/atom. Number 4: magnetization 1.83 μB/atom. Number 5: magnetization 1.68 μB/atom. Number 6: magnetization 0.00 μB/atom.